Below is a relaxed structure of MgIr6Rh3, with properties calculated at the PBE-GGA level.

Summary:
DFT formation energy	143	meV per atom
size of the total moment	0.000	μB/f.u.

Cell lengths 6.8940, 6.8940, 7.2556 Å; angles 90.00, 90.00, 118.05 degrees
With the nearest neighbours (Å) after each atom.
Sites, in units of the cell vectors:
1 Mg 0.2018 0.7982 0.5000  2 Rh 2.52, 7 Ir 2.65-2.81
2 Mg 0.7982 0.2018 0.0000  2 Rh 2.52, 7 Ir 2.65-2.81
3 Ir 0.9998 0.3801 0.6655  6 Ir 2.63-2.75, 2 Rh 2.75-2.76, 2 Mg 2.78-2.81
4 Ir 0.0002 0.6199 0.1655  6 Ir 2.63-2.75, 2 Rh 2.75-2.76, 2 Mg 2.78-2.81
5 Ir 0.1998 0.4318 0.3443  3 Rh 2.58-2.68, 6 Ir 2.61-2.80, 1 Mg 2.76
6 Ir 0.2368 0.7632 0.8602  1 Mg 2.65, 7 Ir 2.65-2.75, 3 Rh 2.73-2.84
7 Ir 0.3801 0.9998 0.1655  6 Ir 2.63-2.75, 2 Rh 2.75-2.76, 2 Mg 2.78-2.81
8 Ir 0.4318 0.1998 0.8443  3 Rh 2.58-2.68, 6 Ir 2.61-2.80, 1 Mg 2.76
9 Ir 0.4342 0.5658 0.6741  7 Ir 2.65-2.80, 4 Rh 2.66-2.70
10 Ir 0.5658 0.4342 0.1741  7 Ir 2.65-2.80, 4 Rh 2.66-2.70
11 Ir 0.5682 0.8002 0.3443  3 Rh 2.58-2.68, 6 Ir 2.61-2.80, 1 Mg 2.76
12 Ir 0.6199 0.0002 0.6655  6 Ir 2.63-2.75, 2 Rh 2.75-2.76, 2 Mg 2.78-2.81
13 Ir 0.7632 0.2368 0.3602  1 Mg 2.65, 7 Ir 2.65-2.75, 3 Rh 2.73-2.84
14 Ir 0.8002 0.5682 0.8443  3 Rh 2.58-2.68, 6 Ir 2.61-2.80, 1 Mg 2.76
15 Rh 0.0071 0.9929 0.7456  5 Ir 2.68-2.84, 1 Mg 2.91, 4 Rh 2.94-2.96
16 Rh 0.2123 0.3800 0.9866  1 Mg 2.52, 6 Ir 2.58-2.75
17 Rh 0.3800 0.2123 0.4866  1 Mg 2.52, 6 Ir 2.58-2.75
18 Rh 0.6200 0.7877 0.9866  1 Mg 2.52, 6 Ir 2.58-2.75
19 Rh 0.7877 0.6200 0.4866  1 Mg 2.52, 6 Ir 2.58-2.75
20 Rh 0.9929 0.0071 0.2456  5 Ir 2.68-2.84, 1 Mg 2.91, 4 Rh 2.94-2.96